No. 1
Below is a geometry-optimized LaPRu2 structure, with properties calculated at the PBE-GGA level.

Results
Total moment = 0.000 μB/f.u.
Density of states at the Fermi level = 0.548 states/eV per atom

Unit cell a=4.298 b=4.298 c=3.698 alpha=90.00 beta=90.00 gamma=90.00
Space group P4/mmm (No. 123)
One atom of each set of equivalent atoms:
La 0.000 0.000 0.000 (multiplicity 1)
P 0.500 0.500 0.000 (multiplicity 1)
Ru 0.000 0.500 0.500 (multiplicity 2)

---

No. 2
Below is a geometry-optimized CrOs2Pt structure, with properties calculated at the PBE-GGA level.

Results
Total moment = 1.416 μB/f.u.
Density of states at the Fermi level = 0.956 states/eV per atom

Unit cell a=2.724 b=3.825 c=5.457 alpha=90.00 beta=90.00 gamma=90.00
Space group Pmm2 (No. 25)
One atom of each set of equivalent atoms:
Cr 0.000 0.000 0.000 (multiplicity 1)
Os 0.000 0.000 0.468 (multiplicity 1)
Os 0.500 0.500 0.245 (multiplicity 1)
Pt 0.500 0.500 0.748 (multiplicity 1)

---

No. 3
Below is a geometry-optimized KRhSCl2 structure, with properties calculated at the PBE-GGA level.

Results
Total moment = 4.011 μB/f.u.
Raw formation energy = 0.8041 eV per atom
Density of states at the Fermi level = 2.502 states/eV per atom

Unit cell a=5.593 b=5.593 c=5.678 alpha=90.00 beta=90.00 gamma=90.00
Space group P4/mmm (No. 123)
One atom of each set of equivalent atoms:
K 0.000 0.000 0.000 (multiplicity 1)
Rh 0.500 0.500 0.500 (multiplicity 1)
S 0.000 0.000 0.500 (multiplicity 1)
Cl 0.000 0.500 0.000 (multiplicity 2)

---

No. 4
Below is a geometry-optimized CsNaTlHg3 structure, with properties calculated at the PBE-GGA level.

Results
Total moment = 0.000 μB/f.u.
Density of states at the Fermi level = 0.549 states/eV per atom

Unit cell a=7.395 b=15.082 c=7.680 alpha=90.00 beta=90.00 gamma=90.00
Space group Cmcm (No. 63)
One atom of each set of equivalent atoms:
Cs 0.000 0.202 0.250 (multiplicity 4)
Na 0.000 0.433 0.250 (multiplicity 4)
Tl 0.000 0.132 0.750 (multiplicity 4)
Hg 0.000 0.356 0.750 (multiplicity 4)
Hg 0.216 0.000 0.000 (multiplicity 8)

---

No. 5
Below is a geometry-optimized Er2UN structure, with properties calculated at the PBE-GGA level.

Results
Total moment = 1.876 μB/f.u.
Raw formation energy = -0.4495 eV per atom
Density of states at the Fermi level = 1.630 states/eV per atom

Unit cell a=3.2474 b=3.2474 c=28.2044 alpha=90.00 beta=90.00 gamma=120.00
Space group R-3m (No. 166, hexagonal axes)
One atom of each set of equivalent atoms:
Er 0.0000 0.0000 0.1178 (multiplicity 6)
U 0.0000 0.0000 0.0000 (multiplicity 3)
N 0.0000 0.0000 0.5000 (multiplicity 3)

---

No. 6
Below is a geometry-optimized DyLuRuPb structure, with properties calculated at the PBE-GGA level.

Results
Total moment = 0.001 μB/f.u.
Density of states at the Fermi level = 0.529 states/eV per atom

Unit cell a=7.168 b=7.168 c=7.168 alpha=90.00 beta=90.00 gamma=90.00
Space group F-43m (No. 216)
One atom of each set of equivalent atoms:
Dy 0.000 0.000 0.000 (multiplicity 4)
Lu 0.000 0.000 0.500 (multiplicity 4)
Ru 0.250 0.250 0.250 (multiplicity 4)
Pb 0.250 0.250 0.750 (multiplicity 4)

---

No. 7
Below is a geometry-optimized SiAgW structure, with properties calculated at the PBE-GGA level.

Results
Total moment = 0.000 μB/f.u.
Raw formation energy = 0.4852 eV per atom
Density of states at the Fermi level = 0.796 states/eV per atom

Unit cell a=2.744 b=2.744 c=12.881 alpha=90.00 beta=90.00 gamma=90.00
Space group I4mm (No. 107)
One atom of each set of equivalent atoms:
Si 0.000 0.000 0.000 (multiplicity 2)
Ag 0.000 0.000 0.677 (multiplicity 2)
W 0.000 0.000 0.355 (multiplicity 2)

---

No. 8
Below is a geometry-optimized Sr2SnPbN structure, with properties calculated at the PBE-GGA level.

Results
Total moment = 0.000 μB/f.u.
Raw formation energy = -0.3833 eV per atom
Density of states at the Fermi level = 0.688 states/eV per atom

Unit cell a=5.209 b=5.209 c=5.017 alpha=90.00 beta=90.00 gamma=90.00
Space group P4/mmm (No. 123)
One atom of each set of equivalent atoms:
Sr 0.000 0.500 0.000 (multiplicity 2)
Sn 0.000 0.000 0.500 (multiplicity 1)
Pb 0.500 0.500 0.500 (multiplicity 1)
N 0.500 0.500 0.000 (multiplicity 1)

---

no.,total energy (eV per atom)
1,-7.30
2,-9.51
3,-2.45
4,-1.03
5,-7.63
6,-5.81
7,-6.59
8,-4.26